Entry 1:
Density functional theory data (GGA-PBE) for a relaxed structure of TaRePt.

POSCAR file:
```
TaRePt
1.0
-1.6703 1.6703 4.4162
1.6703 -1.6703 4.4162
1.6703 1.6703 -4.4162
Ta Re Pt
1 1 1
Direct
0.0000 0.0000 0.0000
0.3479 0.3479 0.0000
0.6694 0.6694 0.0000
```

Calculated values
The energy above the lowest structure with this stoichiometry is 0.30 eV/f.u. Its space-group type is I4mm, No. 107. The calculation puts the formation energy at -0.108 eV per atom.



Entry 2:
Density functional theory data (GGA-PBE) for a relaxed structure of Ta2RePt2.

POSCAR file:
```
Ta2RePt2
1.0
7.2378 0.0000 0.0000
0.0000 7.2378 0.0000
0.0000 0.0000 3.2427
Ta Re Pt
4 2 4
Direct
0.1758 0.3242 0.0000
0.3242 0.8242 0.0000
0.6758 0.1758 0.0000
0.8242 0.6758 0.0000
0.0000 0.0000 0.5000
0.5000 0.5000 0.5000
0.1279 0.6279 0.5000
0.3721 0.1279 0.5000
0.6279 0.8721 0.5000
0.8721 0.3721 0.5000
```

Calculated values
Its space-group type is P4/mbm, No. 127. The calculation puts the formation energy at -0.196 eV per atom.



Entry 3:
Density functional theory data (GGA-PBE) for a relaxed structure of TaRePt2.

POSCAR file:
```
TaRePt2
1.0
4.6930 -1.4628 0.0000
4.6930 1.4628 0.0000
-0.9102 0.0000 4.6399
Ta Re Pt
1 1 2
Direct
0.0000 0.0000 0.0000
0.5000 0.5000 0.5000
0.2461 0.2461 0.7443
0.7539 0.7539 0.2557
```

Calculated values
The energy above the lowest structure with this stoichiometry is 0.77 eV/f.u. Its space-group type is C2/m, No. 12. The calculation puts the formation energy at -0.252 eV per atom.



Entry 4:
Density functional theory data (GGA-PBE) for a relaxed structure of TaRePt2.

POSCAR file:
```
TaRePt2
1.0
4.6669 -1.3798 0.0000
4.6669 1.3798 0.0000
-0.7715 0.0000 4.9296
Ta Re Pt
1 1 2
Direct
0.0000 0.0000 0.0000
0.7476 0.7476 0.2835
0.2514 0.2514 0.7654
0.4925 0.4925 0.4939
```

Calculated values
The energy above the lowest structure with this stoichiometry is 0.41 eV/f.u. Its space-group type is Cm, No. 8. The calculation puts the formation energy at -0.341 eV per atom.



Entry 5:
Density functional theory data (GGA-PBE) for a relaxed structure of Y2TaRePt.

POSCAR file:
```
Y2TaRePt
1.0
5.3118 0.0000 0.0000
0.0000 5.3118 0.0000
0.0000 0.0000 4.6979
Y Ta Re Pt
2 1 1 1
Direct
0.0000 0.5000 0.0000
0.5000 0.0000 0.0000
0.0000 0.0000 0.0000
0.5000 0.5000 0.5000
0.0000 0.0000 0.5000
```

Calculated values
Its space-group type is P4/mmm, No. 123. The calculation puts the formation energy at 1.491 eV per atom.



Entry 6:
Density functional theory data (GGA-PBE) for a relaxed structure of ReTcPt.

POSCAR file:
```
ReTcPt
1.0
-1.3892 1.3892 5.8576
1.3892 -1.3892 5.8576
1.3892 1.3892 -5.8576
Re Tc Pt
1 1 1
Direct
0.0000 0.0000 0.0000
0.6498 0.6498 0.0000
0.3267 0.3267 0.0000
```

Calculated values
The energy above the lowest structure with this stoichiometry is 0.00 eV/f.u. Its space-group type is I4mm, No. 107. The calculation puts the formation energy at -0.075 eV per atom.



Entry 7:
Density functional theory data (GGA-PBE) for a relaxed structure of Re4TcPt.

POSCAR file:
```
Re4TcPt
1.0
0.0000 3.6249 3.6249
3.6249 0.0000 3.6249
3.6249 3.6249 0.0000
Re Tc Pt
4 1 1
Direct
0.3757 0.3757 0.3757
0.3757 0.3757 0.8728
0.3757 0.8728 0.3757
0.8728 0.3757 0.3757
0.0000 0.0000 0.0000
0.7500 0.7500 0.7500
```

Calculated values
Its space-group type is F-43m, No. 216. The calculation puts the formation energy at 0.359 eV per atom.



Entry 8:
Density functional theory data (GGA-PBE) for a relaxed structure of ReTcPt.

POSCAR file:
```
ReTcPt
1.0
0.0000 2.9827 2.9827
2.9827 0.0000 2.9827
2.9827 2.9827 0.0000
Re Tc Pt
1 1 1
Direct
0.0000 0.0000 0.0000
0.2500 0.2500 0.2500
0.7500 0.7500 0.7500
```

Calculated values
The energy above the lowest structure with this stoichiometry is 1.36 eV/f.u. Its space-group type is F-43m, No. 216. The calculation puts the formation energy at 0.380 eV per atom.



Entry 9:
Density functional theory data (GGA-PBE) for a relaxed structure of ReTcPt.

POSCAR file:
```
ReTcPt
1.0
4.3648 0.0000 0.0000
-2.1824 3.7800 0.0000
0.0000 0.0000 2.7903
Re Tc Pt
1 1 1
Direct
0.0000 0.0000 0.0000
0.6667 0.3333 0.0000
0.3333 0.6667 0.5000
```

Calculated values
The energy above the lowest structure with this stoichiometry is 0.64 eV/f.u. Its space-group type is P-6m2, No. 187. The calculation puts the formation energy at 0.138 eV per atom.



Entry 10:
Density functional theory data (GGA-PBE) for a relaxed structure of ReTc3Pt.

POSCAR file:
```
ReTc3Pt
1.0
4.6283 0.0000 0.0000
0.0000 4.6283 0.0000
0.0000 0.0000 4.6283
Re Tc Pt
1 3 1
Direct
0.0000 0.0000 0.0000
0.0000 0.0000 0.5000
0.0000 0.5000 0.0000
0.5000 0.0000 0.0000
0.5000 0.5000 0.5000
```

Calculated values
The energy above the lowest structure with this stoichiometry is 0.00 eV/f.u. Its space-group type is Pm-3m, No. 221. The calculation puts the formation energy at 1.763 eV per atom.



Entry 11:
Density functional theory data (GGA-PBE) for a relaxed structure of ReTcPt.

POSCAR file:
```
ReTcPt
1.0
2.7708 0.0000 0.0000
-1.3854 2.3995 0.0000
0.0000 0.0000 6.7787
Re Tc Pt
1 1 1
Direct
0.0000 0.0000 0.0000
0.3333 0.6667 0.3123
0.6667 0.3333 0.6561
```

Calculated values
The energy above the lowest structure with this stoichiometry is 0.04 eV/f.u. Its space-group type is P3m1, No. 156. The calculation puts the formation energy at -0.062 eV per atom.



Entry 12:
Density functional theory data (GGA-PBE) for a relaxed structure of Re3TcPt.

POSCAR file:
```
Re3TcPt
1.0
4.6061 0.0000 0.0000
0.0000 4.6061 0.0000
0.0000 0.0000 4.6061
Re Tc Pt
3 1 1
Direct
0.0000 0.0000 0.5000
0.0000 0.5000 0.0000
0.5000 0.0000 0.0000
0.0000 0.0000 0.0000
0.5000 0.5000 0.5000
```

Calculated values
The energy above the lowest structure with this stoichiometry is 0.00 eV/f.u. Its space-group type is Pm-3m, No. 221. The calculation puts the formation energy at 2.135 eV per atom.



Entry 13:
Density functional theory data (GGA-PBE) for a relaxed structure of Re5Tc3Pt12.

POSCAR file:
```
Re5Tc3Pt12
1.0
-7.3415 7.3415 7.3415
7.3415 -7.3415 7.3415
7.3415 7.3415 -7.3415
Re Tc Pt
20 12 48
Direct
0.0000 0.0000 0.0000
0.0000 0.0000 0.5000
0.0000 0.5000 0.0000
0.0000 0.5000 0.5000
0.1250 0.7500 0.8750
0.1250 0.8750 0.2500
0.2500 0.1250 0.8750
0.2500 0.6250 0.3750
0.3750 0.2500 0.6250
0.3750 0.6250 0.7500
0.5000 0.0000 0.0000
0.5000 0.0000 0.5000
0.5000 0.5000 0.0000
0.5000 0.5000 0.5000
0.6250 0.3750 0.2500
0.6250 0.7500 0.3750
0.7500 0.3750 0.6250
0.7500 0.8750 0.1250
0.8750 0.1250 0.7500
0.8750 0.2500 0.1250
0.1250 0.2500 0.3750
0.1250 0.3750 0.7500
0.2500 0.3750 0.1250
0.2500 0.8750 0.6250
0.3750 0.1250 0.2500
0.3750 0.7500 0.1250
0.6250 0.2500 0.8750
0.6250 0.8750 0.7500
0.7500 0.1250 0.3750
0.7500 0.6250 0.8750
0.8750 0.6250 0.2500
0.8750 0.7500 0.6250
0.0592 0.2291 0.1381
0.0592 0.3301 0.9210
0.0790 0.6381 0.4090
0.0790 0.9408 0.6699
0.0910 0.7291 0.6699
0.0910 0.8619 0.4210
0.1381 0.0592 0.2291
0.1381 0.5790 0.9090
0.1699 0.2291 0.5910
0.1699 0.4408 0.5790
0.2291 0.1381 0.0592
0.2291 0.5910 0.1699
0.2709 0.3301 0.9090
0.2709 0.4408 0.3619
0.3301 0.9090 0.2709
0.3301 0.9210 0.0592
0.3619 0.2709 0.4408
0.3619 0.5910 0.9210
0.4090 0.0790 0.6381
0.4090 0.8301 0.7709
0.4210 0.0910 0.8619
0.4210 0.8301 0.5592
0.4408 0.3619 0.2709
0.4408 0.5790 0.1699
0.5592 0.4210 0.8301
0.5592 0.6381 0.7291
0.5790 0.1699 0.4408
0.5790 0.9090 0.1381
0.5910 0.1699 0.2291
0.5910 0.9210 0.3619
0.6381 0.4090 0.0790
0.6381 0.7291 0.5592
0.6699 0.0790 0.9408
0.6699 0.0910 0.7291
0.7291 0.5592 0.6381
0.7291 0.6699 0.0910
0.7709 0.4090 0.8301
0.7709 0.8619 0.9408
0.8301 0.5592 0.4210
0.8301 0.7709 0.4090
0.8619 0.4210 0.0910
0.8619 0.9408 0.7709
0.9090 0.1381 0.5790
0.9090 0.2709 0.3301
0.9210 0.0592 0.3301
0.9210 0.3619 0.5910
0.9408 0.6699 0.0790
0.9408 0.7709 0.8619
```

Calculated values
Its space-group type is Ia-3d, No. 230. The calculation puts the formation energy at 0.743 eV per atom.



Entry 14:
Density functional theory data (GGA-PBE) for a relaxed structure of ReTc4Pt.

POSCAR file:
```
ReTc4Pt
1.0
0.0000 3.5799 3.5799
3.5799 0.0000 3.5799
3.5799 3.5799 0.0000
Re Tc Pt
1 4 1
Direct
0.0000 0.0000 0.0000
0.3761 0.3761 0.3761
0.3761 0.3761 0.8717
0.3761 0.8717 0.3761
0.8717 0.3761 0.3761
0.7500 0.7500 0.7500
```

Calculated values
Its space-group type is F-43m, No. 216. The calculation puts the formation energy at 0.286 eV per atom.



Entry 15:
Density functional theory data (GGA-PBE) for a relaxed structure of ReTcPt6.

POSCAR file:
```
ReTcPt6
1.0
4.5369 0.0000 0.0000
0.0000 2.7911 4.8574
0.0000 -2.7911 4.8574
Re Tc Pt
1 1 6
Direct
0.0000 0.0000 0.0000
0.5000 0.8317 0.8317
0.0000 0.4998 0.4998
0.0000 0.5050 0.9953
0.0000 0.9953 0.5050
0.5000 0.3252 0.8362
0.5000 0.3310 0.3310
0.5000 0.8362 0.3252
```

Calculated values
Its space-group type is Amm2, No. 38. The calculation puts the formation energy at -0.023 eV per atom.



Entry 16:
Density functional theory data (GGA-PBE) for a relaxed structure of ReTcPt.

POSCAR file:
```
ReTcPt
1.0
-1.3516 1.9923 4.1617
1.3516 -1.9923 4.1617
1.3516 1.9923 -4.1617
Re Tc Pt
1 1 1
Direct
0.0000 0.0000 0.0000
0.6557 0.6557 0.0000
0.3278 0.3278 0.0000
```

Calculated values
The energy above the lowest structure with this stoichiometry is 0.01 eV/f.u. Its space-group type is Imm2, No. 44. The calculation puts the formation energy at -0.072 eV per atom.



Entry 17:
Density functional theory data (GGA-PBE) for a relaxed structure of ReTcPt.

POSCAR file:
```
ReTcPt
1.0
-1.6430 1.6430 4.2621
1.6430 -1.6430 4.2621
1.6430 1.6430 -4.2621
Re Tc Pt
1 1 1
Direct
0.0000 0.0000 0.0000
0.3550 0.3550 0.0000
0.6759 0.6759 0.0000
```

Calculated values
The energy above the lowest structure with this stoichiometry is 0.71 eV/f.u. Its space-group type is I4mm, No. 107. The calculation puts the formation energy at 0.163 eV per atom.



Entry 18:
Density functional theory data (GGA-PBE) for a relaxed structure of Re2TcPtW.

POSCAR file:
```
Re2TcPtW
1.0
4.6038 0.0000 0.0000
0.0000 4.6038 0.0000
0.0000 0.0000 4.6437
Re Tc Pt W
2 1 1 1
Direct
0.0000 0.5000 0.0000
0.5000 0.0000 0.0000
0.0000 0.0000 0.0000
0.5000 0.5000 0.5000
0.0000 0.0000 0.5000
```

Calculated values
Its space-group type is P4/mmm, No. 123. The calculation puts the formation energy at 2.028 eV per atom.



Entry 19:
Density functional theory data (GGA-PBE) for a relaxed structure of ReTePt.

POSCAR file:
```
ReTePt
1.0
0.0000 2.5172 7.3188
1.5112 0.0000 7.3188
1.5112 2.5172 0.0000
Re Te Pt
1 1 1
Direct
0.0000 0.0000 0.0000
0.3374 0.3374 0.6626
0.6504 0.6504 0.3496
```

Calculated values
The energy above the lowest structure with this stoichiometry is 1.21 eV/f.u. Its space-group type is Fmm2, No. 42.



Entry 20:
Density functional theory data (GGA-PBE) for a relaxed structure of ReTePt2.

POSCAR file:
```
ReTePt2
1.0
-2.1714 2.1714 3.6138
2.1714 -2.1714 3.6138
2.1714 2.1714 -3.6138
Re Te Pt
1 1 2
Direct
0.0000 0.0000 0.0000
0.2500 0.7500 0.5000
0.5000 0.5000 0.0000
0.7500 0.2500 0.5000
```

Calculated values
Its total energy is -6.531 eV per atom. Its space-group type is I-4m2, No. 119.



Entry 21:
Density functional theory data (GGA-PBE) for a relaxed structure of ReTePt.

POSCAR file:
```
ReTePt
1.0
0.0000 3.1196 3.1196
3.1196 0.0000 3.1196
3.1196 3.1196 0.0000
Re Te Pt
1 1 1
Direct
0.0000 0.0000 0.0000
0.7500 0.7500 0.7500
0.2500 0.2500 0.2500
```

Calculated values
The energy above the lowest structure with this stoichiometry is 0.00 eV/f.u. Its space-group type is F-43m, No. 216.



Entry 22:
Density functional theory data (GGA-PBE) for a relaxed structure of Re2TePt.

POSCAR file:
```
Re2TePt
1.0
-1.4402 2.2825 5.5260
1.4402 -2.2825 5.5260
1.4402 2.2825 -5.5260
Re Te Pt
2 1 1
Direct
0.0000 0.0000 0.0000
0.8122 0.3122 0.5000
0.2349 0.7349 0.5000
0.5544 0.5544 0.0000
```

Calculated values
Its total energy is -7.908 eV per atom. Its space-group type is Imm2, No. 44.



Entry 23:
Density functional theory data (GGA-PBE) for a relaxed structure of Re2TePt.

POSCAR file:
```
Re2TePt
1.0
4.6792 -1.5145 0.0000
4.6792 1.5145 0.0000
-0.6720 0.0000 4.7915
Re Te Pt
2 1 1
Direct
0.0000 0.0000 0.0000
0.7292 0.7292 0.2038
0.4891 0.4891 0.4812
0.2581 0.2581 0.7559
```

Calculated values
Its total energy is -8.004 eV per atom. Its space-group type is Cm, No. 8.



Entry 24:
Density functional theory data (GGA-PBE) for a relaxed structure of ReTe2Pt.

POSCAR file:
```
ReTe2Pt
1.0
-3.0468 3.0468 5.8213
3.0468 -3.0468 5.8213
3.0468 3.0468 -5.8213
Re Te Pt
2 4 2
Direct
0.0000 0.0000 0.0000
0.7500 0.2500 0.5000
0.1171 0.6250 0.9921
0.3750 0.3671 0.4921
0.6329 0.1250 0.0079
0.8750 0.8829 0.5079
0.2500 0.7500 0.5000
0.5000 0.5000 0.0000
```

Calculated values
The energy above the lowest structure with this stoichiometry is 0.94 eV/f.u. Its space-group type is I-42d, No. 122.



Entry 25:
Density functional theory data (GGA-PBE) for a relaxed structure of ReTe2Pt.

POSCAR file:
```
ReTe2Pt
1.0
3.0754 0.0000 0.0000
0.0000 3.8591 0.0000
-1.3371 0.0000 8.1218
Re Te Pt
1 2 1
Direct
0.0000 0.0000 0.0000
0.1056 0.5000 0.2386
0.8536 0.0000 0.6691
0.4359 0.5000 0.8527
```

Calculated values
The energy above the lowest structure with this stoichiometry is 0.00 eV/f.u. Its space-group type is Pm, No. 6.